Record 1
CaCoAs2 after structural relaxation, computed with GGA-PBE.

Geometry as POSCAR:
```
CaCoAs2
1.0
6.6590 0.0000 0.0000
0.0000 6.6590 0.0000
0.0000 0.0000 6.6590
Ca Co As
4 4 8
direct
0.0000 0.0000 0.0000 Ca
0.0000 0.5000 0.5000 Ca
0.5000 0.0000 0.5000 Ca
0.5000 0.5000 0.0000 Ca
0.2500 0.2500 0.7500 Co
0.2500 0.7500 0.2500 Co
0.7500 0.2500 0.2500 Co
0.7500 0.7500 0.7500 Co
0.0000 0.0000 0.5000 As
0.0000 0.5000 0.0000 As
0.2500 0.2500 0.2500 As
0.2500 0.7500 0.7500 As
0.5000 0.0000 0.0000 As
0.5000 0.5000 0.5000 As
0.7500 0.2500 0.7500 As
0.7500 0.7500 0.2500 As
```

Results
Formation energy from the elements, eV per formula unit: 0.498
M_tot, μB per formula unit: 1.0
Density, g/cm3: 5.60
V, Å³/cell: 295.3

Record 2
CaCoAs2 after structural relaxation, computed with GGA-PBE.

Geometry as POSCAR:
```
CaCoAs2
1.0
4.3318 0.0000 0.0000
0.0000 3.8568 0.0000
-0.7737 0.0000 4.8994
Ca Co As
1 1 2
direct
0.0000 0.0000 0.0000 Ca
0.5000 0.0000 0.5000 Co
0.3978 0.5000 0.7385 As
0.6022 0.5000 0.2615 As
```

Results
Formation energy from the elements, eV per formula unit: -1.827
M_tot, μB per formula unit: 0.2
Density, g/cm3: 5.05
V, Å³/cell: 81.9

Record 3
CaCoAs2 after structural relaxation, computed with GGA-PBE.

Geometry as POSCAR:
```
CaCoAs2
1.0
3.1204 0.0000 0.0000
0.0000 3.5883 0.0000
0.0000 0.0000 13.4709
Ca Co As
2 2 4
direct
0.0000 0.0000 0.0000 Ca
0.5000 0.5000 0.5000 Ca
0.0000 0.5000 0.2629 Co
0.5000 0.0000 0.7629 Co
0.0000 0.0000 0.6324 As
0.0000 0.5000 0.8271 As
0.5000 0.0000 0.3271 As
0.5000 0.5000 0.1324 As
```

Results
Formation energy from the elements, eV per formula unit: -1.319
M_tot, μB per formula unit: 0.0
Density, g/cm3: 5.48
V, Å³/cell: 150.8

Record 4
CaCoAs2 after structural relaxation, computed with GGA-PBE.

Geometry as POSCAR:
```
CaCoAs2
1.0
3.3679 0.0000 0.0000
0.0000 3.3679 0.0000
0.0000 0.0000 6.6789
Ca Co As
1 1 2
direct
0.0000 0.0000 0.0000 Ca
0.5000 0.5000 0.3669 Co
0.0000 0.0000 0.4428 As
0.5000 0.5000 0.7237 As
```

Results
Formation energy from the elements, eV per formula unit: -0.686
M_tot, μB per formula unit: 0.0
Density, g/cm3: 5.45
V, Å³/cell: 75.8

Record 5
CaCoAs4 after structural relaxation, computed with GGA-PBE.

Geometry as POSCAR:
```
CaCoAs4
1.0
0.0000 3.9443 3.9443
3.9443 0.0000 3.9443
3.9443 3.9443 0.0000
Ca Co As
1 1 4
direct
0.0000 0.0000 0.0000 Ca
0.7500 0.7500 0.7500 Co
0.3767 0.3767 0.3767 As
0.3767 0.3767 0.8700 As
0.3767 0.8700 0.3767 As
0.8700 0.3767 0.3767 As
```

Results
Formation energy from the elements, eV per formula unit: 1.298
M_tot, μB per formula unit: 1.6
Density, g/cm3: 5.39
V, Å³/cell: 122.7

Record 6
CaCoAs2 after structural relaxation, computed with GGA-PBE.

Geometry as POSCAR:
```
CaCoAs2
1.0
4.0753 0.0000 0.0000
0.0000 5.5154 0.0000
0.0000 0.0000 6.7443
Ca Co As
2 2 4
direct
0.0000 0.0000 0.0000 Ca
0.5000 0.5000 0.0000 Ca
0.0000 0.0000 0.5000 Co
0.5000 0.5000 0.5000 Co
0.0000 0.5000 0.3046 As
0.0000 0.5000 0.6954 As
0.5000 0.0000 0.3046 As
0.5000 0.0000 0.6954 As
```

Results
Formation energy from the elements, eV per formula unit: -0.920
M_tot, μB per formula unit: 1.2
Density, g/cm3: 5.45
V, Å³/cell: 151.6